Entry 1:
Compound: BaCd2HgPd
Source: Alexandria
Functional: GGA-PBE
Structure: optimized geometry

Structure (POSCAR):
```
BaCd2HgPd
1.0
-1.9375 -1.8437 4.5276
-2.5123 -3.8024 -2.6235
4.2851 -3.1979 0.5316
Cd Hg Pd Ba
2 1 1 1
Direct
0.0000 0.5000 0.0000
0.5000 0.0000 0.0000
0.0000 0.0000 0.5000
0.0000 0.0000 0.0000
0.5000 0.5000 0.5000
```

## Properties
* electronic total energy: -2.1738 eV per atom
* energy of formation from the pure elements: -0.32 eV per atom
* distance to the lowest polymorph of the same formula: 0.000 eV per formula unit



Entry 2:
Compound: Ba2CdHgPd
Source: Alexandria
Functional: GGA-PBE
Structure: optimized geometry

Structure (POSCAR):
```
Ba2CdHgPd
1.0
-2.5481 1.3667 -5.3747
-5.4142 0.6676 2.7366
1.0358 5.0984 0.8054
Cd Hg Pd Ba
1 1 1 2
Direct
0.0000 0.0000 0.5000
0.5000 0.5000 0.5000
0.0000 0.0000 0.0000
0.0000 0.5000 0.0000
0.5000 0.0000 0.0000
```

## Properties
* electronic total energy: -2.4360 eV per atom
* energy of formation from the pure elements: -0.38 eV per atom
* distance to the lowest polymorph of the same formula: 0.000 eV per formula unit



Entry 3:
Compound: BaCdHg2Pd
Source: Alexandria
Functional: GGA-PBE
Structure: optimized geometry

Structure (POSCAR):
```
BaCdHg2Pd
1.0
-3.6636 2.5719 -0.9003
0.7807 -0.5119 -4.6394
-2.1869 -6.2121 2.7310
Ba Cd Hg Pd
1 1 2 1
Direct
0.4331 0.4331 0.8661
0.1979 0.6979 0.3957
0.7062 0.2062 0.4125
0.0465 0.0465 0.0930
0.8285 0.8285 0.6569
```

## Properties
* electronic total energy: -2.1332 eV per atom
* energy of formation from the pure elements: -0.41 eV per atom
* distance to the lowest polymorph of the same formula: 0.000 eV per formula unit



Entry 4:
Compound: Ba2Cd3HgPd4
Source: Alexandria
Functional: GGA-PBE
Structure: optimized geometry

Structure (POSCAR):
```
Ba2Cd3HgPd4
1.0
4.7774 0.0000 0.0000
0.0000 4.7774 0.0000
0.0000 0.0000 11.0716
Ba Cd Hg Pd
2 3 1 4
Direct
0.5000 0.0000 0.2412
0.0000 0.5000 0.7588
0.0000 0.0000 0.5000
0.5000 0.0000 0.8779
0.0000 0.5000 0.1221
0.5000 0.5000 0.5000
0.5000 0.5000 0.0000
0.0000 0.0000 0.0000
0.5000 0.0000 0.6329
0.0000 0.5000 0.3671
```

## Properties
* electronic total energy: -3.2087 eV per atom
* energy of formation from the pure elements: -0.44 eV per atom



Entry 5:
Compound: Ba2CdHg3Pd4
Source: Alexandria
Functional: GGA-PBE
Structure: optimized geometry

Structure (POSCAR):
```
Ba2CdHg3Pd4
1.0
-3.2623 3.0619 1.4493
-1.7350 -3.2384 2.9363
7.0752 3.6527 8.2090
Ba Cd Hg Pd
2 1 3 4
Direct
0.5000 0.0000 0.2408
0.0000 0.5000 0.7592
0.5000 0.5000 0.5000
0.0000 0.0000 0.5000
0.5000 0.0000 0.8694
0.0000 0.5000 0.1306
0.5000 0.5000 0.0000
0.0000 0.0000 0.0000
0.5000 0.0000 0.6320
0.0000 0.5000 0.3680
```

## Properties
* electronic total energy: -3.0738 eV per atom
* energy of formation from the pure elements: -0.43 eV per atom



Entry 6:
Compound: BaCdHgPd3
Source: Alexandria
Functional: GGA-PBE
Structure: optimized geometry

Structure (POSCAR):
```
BaCdHgPd3
1.0
-2.6591 2.2690 -5.2950
-4.0412 -5.4878 -0.3222
-2.5743 5.9124 3.8264
Ba Cd Hg Pd
2 2 2 6
Direct
0.7500 0.3033 0.6067
0.2500 0.6967 0.3933
0.2500 0.3576 0.7152
0.7500 0.6424 0.2848
0.2500 0.9398 0.8796
0.7500 0.0602 0.1204
0.2500 0.1525 0.3050
0.0000 0.3013 0.0000
0.5000 0.6987 0.0000
0.5000 0.3013 0.0000
0.0000 0.6987 0.0000
0.7500 0.8475 0.6950
```

## Properties
* electronic total energy: -3.3568 eV per atom
* energy of formation from the pure elements: -0.24 eV per atom



Entry 7:
Compound: BaCdHgPd2
Source: Alexandria
Functional: GGA-PBE
Structure: optimized geometry

Structure (POSCAR):
```
BaCdHgPd2
1.0
6.3291 0.0000 0.0000
0.0000 6.1737 0.0000
0.0000 -3.0868 6.6141
Ba Cd Hg Pd
2 2 2 4
Direct
0.2307 0.7500 0.5000
0.7693 0.2500 0.5000
0.5000 0.7500 0.0000
0.5000 0.2500 0.0000
0.0000 0.0000 0.0000
0.0000 0.5000 0.0000
0.7037 0.8508 0.7016
0.7037 0.6492 0.2984
0.2963 0.3508 0.7016
0.2963 0.1492 0.2984
```

## Properties
* electronic total energy: -3.0625 eV per atom
* energy of formation from the pure elements: -0.36 eV per atom



Entry 8:
Compound: Ba2CdHgPd
Source: Alexandria
Functional: GGA-PBE
Structure: optimized geometry

Structure (POSCAR):
```
Ba2CdHgPd
1.0
6.1011 0.0000 0.0000
0.0000 6.1011 0.0000
0.0000 0.0000 5.3047
Cd Hg Pd Ba
1 1 1 2
Direct
0.5000 0.5000 0.5000
0.0000 0.0000 0.5000
0.0000 0.0000 0.0000
0.0000 0.5000 0.0000
0.5000 0.0000 0.0000
```

## Properties
* electronic total energy: -2.3886 eV per atom
* energy of formation from the pure elements: -0.34 eV per atom
* distance to the lowest polymorph of the same formula: 0.237 eV per formula unit



Number 2 is which compound?
Ba2CdHgPd